VASP calculation (GGA-PBE) on a geometry-optimized BaGaBi2O structure.

a = 6.3714 Å, b = 6.3714 Å, c = 6.4427 Å
α = 90.00°, β = 90.00°, γ = 90.00°
Atoms (fractional coordinates):
Ba: 0.0000 0.0000 0.0000
Ga: 0.0000 0.0000 0.5000
Bi: 0.0000 0.5000 0.0000
Bi: 0.5000 0.0000 0.0000
O: 0.5000 0.5000 0.5000

Computed properties:
Its calculated total energy is -2.17 eV per atom.

=====

VASP calculation (GGA-PBE) on a geometry-optimized Ba2GaBiP structure.

a = 6.6678 Å, b = 6.6678 Å, c = 5.2615 Å
α = 90.00°, β = 90.00°, γ = 90.00°
Atoms (fractional coordinates):
Ba: 0.0000 0.5000 0.0000
Ba: 0.5000 0.0000 0.0000
Ga: 0.0000 0.0000 0.5000
Bi: 0.5000 0.5000 0.0000
P: 0.5000 0.5000 0.5000

Computed properties:
The formation energy is 0.76 eV/f.u. The energy relative to the lowest polymorph listed for this composition comes out at 952.6 meV per atom.